# 1
Density functional theory data (PBE) for a relaxed structure of Ac2La6Mg.

Cell: 6.5860 12.6705 11.7358 Å, 46.05 73.73 74.96°
Sites, in units of the cell vectors:
La  0.5046  0.9053  0.4080
La  0.2728  0.6356  0.4660
La  0.4954  0.0947  0.5920
La  0.8188  0.5951  0.0920
La  0.6264  0.1354  0.9661
La  0.9507  0.9762  0.8102
La  0.1812  0.4049  0.9080
La  0.3736  0.8646  0.0339
Mg  0.1710  0.2498  0.7499
Ac  0.6218  0.3009  0.1400
La  0.0493  0.0238  0.1898
Ac  0.0629  0.1994  0.3602
La  0.7375  0.5238  0.6892
Ac  0.3782  0.6991  0.8600
Ac  0.9371  0.8006  0.6398
La  0.7272  0.3644  0.5340
Mg  0.8290  0.7502  0.2501
La  0.2625  0.4762  0.3108

Properties
* energy: -78.420 eV/cell

=====

# 2
Density functional theory data (PBE) for a relaxed structure of NiPdRh3.

Cell: 4.7205 4.7205 4.7205 Å, 90.00 90.00 90.00°
Each line ends with the local moment (μB).
Sites, in units of the cell vectors:
Rh  0.0000  0.5000  0.0000  0.78
Ni  0.5000  0.5000  0.5000  0.97
Rh  0.5000  0.0000  0.0000  0.67
Rh  0.0000  0.0000  0.5000  1.23
Pd  0.0000  0.0000  0.0000  0.54

Properties
* excess energy over the best structure of this formula in the dataset: 721 meV per atom

=====

Number 1: size of the total moment 0.0 μB per cell, Fermi-level density of states 14.985 states/eV/f.u.. Number 2: size of the total moment 4.1 μB per cell, Fermi-level density of states 11.387 states/eV/f.u..